(1)
TlGe | PBE-GGA | optimized geometry

abc: 3.4651 3.7013 8.1181
angles: 89.99 89.75 89.93
Last column: nearest neighbours and their distance in Å.
Element x y z (fractional)
Tl 0.7515 0.7498 0.1667  5 Ge 3.27-3.32, 2 Tl 3.47
Tl 0.2485 0.2502 0.8333  5 Ge 3.27-3.32, 2 Tl 3.47
Ge 0.7498 0.7499 0.5700  4 Ge 2.77-2.78
Ge 0.2502 0.2501 0.4300  4 Ge 2.77-2.78

Calculated values
Calculated total energy (eV/f.u.): -6.7
Energy relative to the elements (eV per atom): 0.1432

(2)
TlGe | PBE-GGA | optimized geometry

abc: 8.0488 4.0181 6.9541
angles: 90.00 89.81 90.00
Last column: nearest neighbours and their distance in Å.
Element x y z (fractional)
Tl 0.0774 0.0000 0.2369  3 Ge 3.13-3.15
Tl 0.0774 0.5000 0.7369  3 Ge 3.13-3.15
Tl 0.7418 0.0000 0.5712  4 Ge 3.18-3.24, 1 Tl 3.56
Tl 0.7418 0.5000 0.0712  4 Ge 3.18-3.24, 1 Tl 3.56
Ge 0.3397 0.0000 0.5717  3 Ge 2.55
Ge 0.3397 0.5000 0.0717  3 Ge 2.55
Ge 0.4708 0.0000 0.9048  3 Ge 2.55
Ge 0.4708 0.5000 0.4048  3 Ge 2.55

Calculated values
Calculated total energy (eV/f.u.): -6.8
Energy relative to the elements (eV per atom): 0.1066

(3)
Tl6Ge | PBE-GGA | optimized geometry

abc: 7.3833 7.3833 7.3833
angles: 109.47 109.47 109.47
Last column: nearest neighbours and their distance in Å.
Element x y z (fractional)
Tl 0.2500 0.7500 0.5000  4 Tl 3.01
Tl 0.5000 0.7500 0.2500  4 Tl 3.01
Tl 0.2500 0.5000 0.7500  4 Tl 3.01
Tl 0.7500 0.2500 0.5000  4 Tl 3.01
Tl 0.5000 0.2500 0.7500  4 Tl 3.01
Tl 0.7500 0.5000 0.2500  4 Tl 3.01
Ge 0.0000 0.0000 0.0000  24 Tl 4.77

Calculated values
Calculated total energy (eV/f.u.): -14.0
Energy relative to the elements (eV per atom): 0.6810

(4)
TlGe2 | PBE-GGA | optimized geometry

abc: 5.8243 5.8243 5.8243
angles: 60.00 60.00 60.00
Last column: nearest neighbours and their distance in Å.
Element x y z (fractional)
Tl 0.0000 0.0000 0.0000  12 Ge 3.41, 4 Tl 3.57
Tl 0.2500 0.2500 0.2500  12 Ge 3.41, 4 Tl 3.57
Ge 0.1250 0.6250 0.6250  6 Ge 2.91
Ge 0.6250 0.1250 0.6250  6 Ge 2.91
Ge 0.6250 0.6250 0.6250  6 Ge 2.91
Ge 0.6250 0.6250 0.1250  6 Ge 2.91

Calculated values
Calculated total energy (eV/f.u.): -11.0
Energy relative to the elements (eV per atom): 0.2149

(5)
TlGe | PBE-GGA | optimized geometry

abc: 7.8496 7.8496 7.8496
angles: 90.00 90.00 90.00
Last column: nearest neighbours and their distance in Å.
Element x y z (fractional)
Tl 0.2500 0.0000 0.5000  4 Ge 2.78
Tl 0.7500 0.0000 0.5000  4 Ge 2.78
Tl 0.0000 0.5000 0.2500  4 Ge 2.78
Tl 0.0000 0.5000 0.7500  4 Ge 2.78
Tl 0.5000 0.2500 0.0000  4 Ge 2.78
Tl 0.5000 0.7500 0.0000  4 Ge 2.78
Ge 0.2500 0.5000 0.0000  4 Tl 2.78
Ge 0.7500 0.5000 0.0000  4 Tl 2.78
Ge 0.5000 0.0000 0.2500  4 Tl 2.78
Ge 0.5000 0.0000 0.7500  4 Tl 2.78
Ge 0.0000 0.2500 0.5000  4 Tl 2.78
Ge 0.0000 0.7500 0.5000  4 Tl 2.78

Calculated values
Calculated total energy (eV/f.u.): -5.9
Energy relative to the elements (eV per atom): 0.5553

(6)
TlGe | PBE-GGA | optimized geometry

abc: 7.1419 6.7114 8.7588
angles: 90.00 90.00 90.00
Last column: nearest neighbours and their distance in Å.
Element x y z (fractional)
Tl 0.6450 0.0833 0.1955  4 Ge 2.95-3.22, 1 Tl 3.19
Tl 0.1450 0.4167 0.8045  4 Ge 2.95-3.22, 1 Tl 3.19
Tl 0.3550 0.5833 0.3045  4 Ge 2.95-3.22, 1 Tl 3.19
Tl 0.8550 0.9167 0.6955  4 Ge 2.95-3.22, 1 Tl 3.19
Tl 0.0356 0.8273 0.0221  4 Ge 2.99-3.34, 1 Tl 3.19
Tl 0.5356 0.6727 0.9779  4 Ge 2.99-3.34, 1 Tl 3.19
Tl 0.9644 0.3273 0.4779  4 Ge 2.99-3.34, 1 Tl 3.19
Tl 0.4644 0.1727 0.5221  4 Ge 2.99-3.34, 1 Tl 3.19
Ge 0.2060 0.1855 0.1702  3 Ge 2.67-2.88
Ge 0.7060 0.3145 0.8298  3 Ge 2.67-2.88
Ge 0.7940 0.6855 0.3298  3 Ge 2.67-2.88
Ge 0.2940 0.8145 0.6702  3 Ge 2.67-2.88
Ge 0.5957 0.5947 0.6076  3 Ge 2.67-2.88, 1 Tl 2.95
Ge 0.0957 0.9053 0.3924  3 Ge 2.67-2.88, 1 Tl 2.95
Ge 0.4043 0.0947 0.8924  3 Ge 2.67-2.88, 1 Tl 2.95
Ge 0.9043 0.4053 0.1076  3 Ge 2.67-2.88, 1 Tl 2.95

Calculated values
Calculated total energy (eV/f.u.): -6.6
Energy relative to the elements (eV per atom): 0.1866

(7)
TlGe | PBE-GGA | optimized geometry

abc: 8.2693 4.0151 6.9256
angles: 90.00 107.24 90.00
Last column: nearest neighbours and their distance in Å.
Element x y z (fractional)
Tl 0.1650 0.0000 0.3885  3 Ge 3.13-3.18, 2 Tl 3.47
Tl 0.8350 0.0000 0.6115  3 Ge 3.13-3.18, 2 Tl 3.47
Tl 0.1650 0.5000 0.8885  3 Ge 3.13-3.18, 2 Tl 3.47
Tl 0.8350 0.5000 0.1115  3 Ge 3.13-3.18, 2 Tl 3.47
Ge 0.5648 0.0000 0.8563  3 Ge 2.52-2.53
Ge 0.4352 0.0000 0.1437  3 Ge 2.52-2.53
Ge 0.5648 0.5000 0.3563  3 Ge 2.52-2.53
Ge 0.4352 0.5000 0.6437  3 Ge 2.52-2.53

Calculated values
Calculated total energy (eV/f.u.): -6.8
Energy relative to the elements (eV per atom): 0.1097

(8)
TlGe | PBE-GGA | optimized geometry

abc: 6.2658 6.2658 5.6458
angles: 90.00 90.00 90.00
Last column: nearest neighbours and their distance in Å.
Element x y z (fractional)
Tl 0.6878 0.6878 0.0000  4 Ge 2.85-3.05
Tl 0.1878 0.8122 0.5000  4 Ge 2.85-3.05
Tl 0.8122 0.1878 0.5000  4 Ge 2.85-3.05
Tl 0.3122 0.3122 0.0000  4 Ge 2.85-3.05
Ge 0.8543 0.1457 0.0000  1 Ge 2.58, 2 Tl 2.85
Ge 0.3543 0.3543 0.5000  1 Ge 2.58, 2 Tl 2.85
Ge 0.6457 0.6457 0.5000  1 Ge 2.58, 2 Tl 2.85
Ge 0.1457 0.8543 0.0000  1 Ge 2.58, 2 Tl 2.85

Calculated values
Calculated total energy (eV/f.u.): -6.3
Energy relative to the elements (eV per atom): 0.3361

(9)
TlGe | PBE-GGA | optimized geometry

abc: 11.7062 11.7062 3.9219
angles: 90.00 90.00 90.00
Last column: nearest neighbours and their distance in Å.
Element x y z (fractional)
Tl 0.4988 0.2938 0.0000  3 Ge 2.91-3.04
Tl 0.5012 0.7062 0.0000  3 Ge 2.91-3.04
Tl 0.7062 0.4988 0.0000  3 Ge 2.91-3.04
Tl 0.2938 0.5012 0.0000  3 Ge 2.91-3.04
Tl 0.9988 0.7938 0.5000  3 Ge 2.91-3.04
Tl 0.0012 0.2062 0.5000  3 Ge 2.91-3.04
Tl 0.2062 0.9988 0.5000  3 Ge 2.91-3.04
Tl 0.7938 0.0012 0.5000  3 Ge 2.91-3.04
Ge 0.2767 0.8129 0.0000  2 Ge 2.53
Ge 0.7233 0.1871 0.0000  2 Ge 2.53
Ge 0.1871 0.2767 0.0000  2 Ge 2.53
Ge 0.8129 0.7233 0.0000  2 Ge 2.53
Ge 0.7767 0.3129 0.5000  2 Ge 2.53
Ge 0.2233 0.6871 0.5000  2 Ge 2.53
Ge 0.6871 0.7767 0.5000  2 Ge 2.53
Ge 0.3129 0.2233 0.5000  2 Ge 2.53

Calculated values
Calculated total energy (eV/f.u.): -6.4
Energy relative to the elements (eV per atom): 0.2835

(10)
TlGe | PBE-GGA | optimized geometry

abc: 12.2101 12.2101 4.6666
angles: 90.00 90.00 90.00
Last column: nearest neighbours and their distance in Å.
Element x y z (fractional)
Tl 0.8008 0.4193 0.5000  4 Ge 2.75-2.89
Tl 0.1992 0.5807 0.5000  4 Ge 2.75-2.89
Tl 0.5807 0.8008 0.5000  4 Ge 2.75-2.89
Tl 0.4193 0.1992 0.5000  4 Ge 2.75-2.89
Tl 0.8596 0.6772 0.0000  3 Ge 2.72-2.84
Tl 0.1404 0.3228 0.0000  3 Ge 2.72-2.84
Tl 0.3228 0.8596 0.0000  3 Ge 2.72-2.84
Tl 0.6772 0.1404 0.0000  3 Ge 2.72-2.84
Ge 0.7482 0.6501 0.5000  4 Tl 2.72-2.89
Ge 0.2518 0.3499 0.5000  4 Tl 2.72-2.89
Ge 0.3499 0.7482 0.5000  4 Tl 2.72-2.89
Ge 0.6501 0.2518 0.5000  4 Tl 2.72-2.89
Ge 0.9310 0.4238 0.0000  1 Ge 2.51
Ge 0.0690 0.5762 0.0000  1 Ge 2.51
Ge 0.5762 0.9310 0.0000  1 Ge 2.51
Ge 0.4238 0.0690 0.0000  1 Ge 2.51

Calculated values
Calculated total energy (eV/f.u.): -6.1
Energy relative to the elements (eV per atom): 0.4621

(11)
TlGe | PBE-GGA | optimized geometry

abc: 5.9293 5.9293 5.9293
angles: 90.00 90.00 90.00
Last column: nearest neighbours and their distance in Å.
Element x y z (fractional)
Tl 0.5000 0.5000 0.5000  6 Ge 2.96
Tl 0.5000 0.0000 0.0000  6 Ge 2.96
Tl 0.0000 0.5000 0.0000  6 Ge 2.96
Tl 0.0000 0.0000 0.5000  6 Ge 2.96
Ge 0.0000 0.0000 0.0000  6 Tl 2.96
Ge 0.0000 0.5000 0.5000  6 Tl 2.96
Ge 0.5000 0.0000 0.5000  6 Tl 2.96
Ge 0.5000 0.5000 0.0000  6 Tl 2.96

Calculated values
Calculated total energy (eV/f.u.): -6.2
Energy relative to the elements (eV per atom): 0.3965

(12)
TlGe | PBE-GGA | optimized geometry

abc: 10.5517 10.5517 3.9592
angles: 90.00 90.00 120.00
Last column: nearest neighbours and their distance in Å.
Element x y z (fractional)
Tl 0.8926 0.1966 0.2500  2 Ge 2.95-3.03
Tl 0.6960 0.8926 0.7500  2 Ge 2.95-3.03
Tl 0.8034 0.6960 0.2500  2 Ge 2.95-3.03
Tl 0.1074 0.8034 0.7500  2 Ge 2.95-3.03
Tl 0.3040 0.1074 0.2500  2 Ge 2.95-3.03
Tl 0.1966 0.3040 0.7500  2 Ge 2.95-3.03
Ge 0.5723 0.0722 0.2500  2 Ge 2.50
Ge 0.5000 0.5723 0.7500  2 Ge 2.50
Ge 0.9278 0.5000 0.2500  2 Ge 2.50
Ge 0.4277 0.9278 0.7500  2 Ge 2.50
Ge 0.5000 0.4277 0.2500  2 Ge 2.50
Ge 0.0722 0.5000 0.7500  2 Ge 2.50

Calculated values
Calculated total energy (eV/f.u.): -6.4
Energy relative to the elements (eV per atom): 0.2799

(13)
TlGe | PBE-GGA | optimized geometry

abc: 3.8133 7.4996 12.6661
angles: 90.00 90.00 90.00
Last column: nearest neighbours and their distance in Å.
Element x y z (fractional)
Tl 0.0000 0.6430 0.8188  3 Ge 2.85-2.99
Tl 0.5000 0.3570 0.6812  3 Ge 2.85-2.99
Tl 0.5000 0.3570 0.3188  3 Ge 2.85-2.99
Tl 0.0000 0.6430 0.1812  3 Ge 2.85-2.99
Tl 0.0000 0.8699 0.5000  4 Ge 2.79-2.88
Tl 0.5000 0.1301 0.0000  4 Ge 2.79-2.88
Ge 0.0000 0.0504 0.6926  2 Ge 2.51, 1 Tl 2.79
Ge 0.5000 0.9496 0.8074  2 Ge 2.51, 1 Tl 2.79
Ge 0.5000 0.9496 0.1926  2 Ge 2.51, 1 Tl 2.79
Ge 0.0000 0.0504 0.3074  2 Ge 2.51, 1 Tl 2.79
Ge 0.0000 0.4180 0.0000  4 Tl 2.85-2.88
Ge 0.5000 0.5820 0.5000  4 Tl 2.85-2.88

Calculated values
Calculated total energy (eV/f.u.): -6.3
Energy relative to the elements (eV per atom): 0.3208

(14)
TlGe | PBE-GGA | optimized geometry

abc: 4.2554 4.2554 8.0508
angles: 90.00 90.00 120.00
Last column: nearest neighbours and their distance in Å.
Element x y z (fractional)
Tl 0.3333 0.6667 0.7097  4 Ge 2.72-2.78
Tl 0.6667 0.3333 0.2097  4 Ge 2.72-2.78
Ge 0.3333 0.6667 0.3723  4 Tl 2.72-2.78
Ge 0.6667 0.3333 0.8723  4 Tl 2.72-2.78

Calculated values
Calculated total energy (eV/f.u.): -6.0
Energy relative to the elements (eV per atom): 0.4753

(15)
Tm2TlGe | PBE-GGA | optimized geometry

abc: 3.8634 3.8634 8.5458
angles: 76.94 76.94 60.00
Last column: nearest neighbours and their distance in Å.
Element x y z (fractional)
Tl 0.5000 0.5000 0.5000  6 Tm 3.25
Tm 0.7380 0.7380 0.7861  3 Ge 2.84
Tm 0.2620 0.2620 0.2139  3 Ge 2.84
Ge 0.0000 0.0000 0.0000  6 Tm 2.84

Calculated values
Calculated total energy (eV/f.u.): -17.7
Energy relative to the elements (eV per atom): -0.4453

(16)
TmTl2Ge | PBE-GGA | optimized geometry

abc: 3.4793 3.4793 11.1028
angles: 80.99 80.99 60.00
Last column: nearest neighbours and their distance in Å.
Element x y z (fractional)
Tl 0.0942 0.0942 0.7174  1 Tm 3.09, 3 Ge 3.11
Tl 0.9058 0.9058 0.2826  1 Tm 3.09, 3 Ge 3.11
Tm 0.0000 0.0000 0.0000  2 Tl 3.09
Ge 0.5000 0.5000 0.5000  6 Tl 3.11, 6 Ge 3.48

Calculated values
Calculated total energy (eV/f.u.): -12.9
Energy relative to the elements (eV per atom): 0.2205

(17)
Tm2TlGe | PBE-GGA | optimized geometry

abc: 3.4575 3.4575 8.1053
angles: 90.00 90.00 90.00
Last column: nearest neighbours and their distance in Å.
Element x y z (fractional)
Tl 0.5000 0.5000 0.5000  8 Tm 3.30, 4 Tl 3.46
Tm 0.0000 0.0000 0.7732  4 Ge 3.06, 4 Tl 3.30
Tm 0.0000 0.0000 0.2268  4 Ge 3.06, 4 Tl 3.30
Ge 0.5000 0.5000 0.0000  8 Tm 3.06

Calculated values
Calculated total energy (eV/f.u.): -17.7
Energy relative to the elements (eV per atom): -0.4452

(18)
Tm6Tl2Ge | PBE-GGA | optimized geometry

abc: 7.3538 7.3538 10.9726
angles: 90.00 90.00 90.00
Last column: nearest neighbours and their distance in Å.
Element x y z (fractional)
Tm 0.2867 0.2867 0.3402  1 Ge 2.83, 2 Tl 2.98-3.02
Tm 0.7133 0.7133 0.3402  1 Ge 2.83, 2 Tl 2.98-3.02
Tm 0.2133 0.7867 0.8402  1 Ge 2.83, 2 Tl 2.98-3.02
Tm 0.7867 0.2133 0.8402  1 Ge 2.83, 2 Tl 2.98-3.02
Tm 0.2133 0.7867 0.1598  1 Ge 2.83, 2 Tl 2.98-3.02
Tm 0.7867 0.2133 0.1598  1 Ge 2.83, 2 Tl 2.98-3.02
Tm 0.2867 0.2867 0.6598  1 Ge 2.83, 2 Tl 2.98-3.02
Tm 0.7133 0.7133 0.6598  1 Ge 2.83, 2 Tl 2.98-3.02
Tm 0.2620 0.2620 0.0000  1 Ge 2.72, 2 Tl 2.99
Tm 0.7380 0.7380 0.0000  1 Ge 2.72, 2 Tl 2.99
Tm 0.2380 0.7620 0.5000  1 Ge 2.72, 2 Tl 2.99
Tm 0.7620 0.2380 0.5000  1 Ge 2.72, 2 Tl 2.99
Tl 0.0000 0.0000 0.3467  6 Tm 2.98-3.02
Tl 0.5000 0.5000 0.8467  6 Tm 2.98-3.02
Tl 0.5000 0.5000 0.1533  6 Tm 2.98-3.02
Tl 0.0000 0.0000 0.6533  6 Tm 2.98-3.02
Ge 0.0000 0.0000 0.0000  6 Tm 2.72-2.83
Ge 0.5000 0.5000 0.5000  6 Tm 2.72-2.83

Calculated values
Calculated total energy (eV/f.u.): -35.6
Energy relative to the elements (eV per atom): 0.0601

(19)
TmTlGe | PBE-GGA | optimized geometry

abc: 4.0128 6.2511 6.2172
angles: 90.00 90.00 108.72
Last column: nearest neighbours and their distance in Å.
Element x y z (fractional)
Ge 0.5000 0.0000 0.5000  4 Tm 2.91, 2 Ge 3.11, 4 Tl 3.17
Ge 0.5000 0.0000 0.0000  4 Tm 2.91, 2 Ge 3.11, 4 Tl 3.17
Tm 0.1204 0.2408 0.2500  4 Ge 2.91, 2 Tl 3.15
Tm 0.8796 0.7592 0.7500  4 Ge 2.91, 2 Tl 3.15
Tl 0.1611 0.3221 0.7500  5 Tm 3.15-3.33, 4 Ge 3.17
Tl 0.8389 0.6779 0.2500  5 Tm 3.15-3.33, 4 Ge 3.17

Calculated values
Calculated total energy (eV/f.u.): -12.4
Energy relative to the elements (eV per atom): -0.3274

(20)
TlVGe | PBE-GGA | optimized geometry

abc: 4.2022 4.2022 6.5929
angles: 90.00 90.00 90.00
Last column: nearest neighbours and their distance in Å.
Element x y z (fractional)
Tl 0.0000 0.5000 0.8399  5 Ge 2.84-3.06, 4 V 3.07
Tl 0.5000 0.0000 0.1601  5 Ge 2.84-3.06, 4 V 3.07
Ge 0.0000 0.5000 0.2705  4 V 2.59, 1 Tl 2.84
Ge 0.5000 0.0000 0.7295  4 V 2.59, 1 Tl 2.84
V 0.0000 0.0000 0.5000  4 Ge 2.59
V 0.5000 0.5000 0.5000  4 Ge 2.59

Calculated values
Calculated total energy (eV/f.u.): -15.5
Energy relative to the elements (eV per atom): 0.1926